A plane-wave DFT calculation with PBE was carried out for an optimized crystal structure of U2Sn7Pb.

Results
Total moment: 5.584 μB/f.u.
Theoretical density: 7.1 g cm⁻³
Total DFT energy (no corrections): -4.99 eV/atom
Space group: Cmmm (65)
Crystal system: orthorhombic
V: 352.1 Å³/cell

Cell: 5.679 8.539 8.539 Å, 121.76 90.00 90.00°
Each line ends with the local moment (μB).
Sites, in units of the cell vectors:
U  0.500  0.717  0.283  2.48
U  0.500  0.283  0.717  2.48
Sn  0.000  0.794  0.206  0.03
Sn  0.000  0.206  0.794  0.03
Sn  0.500  0.082  0.282  0.00
Sn  0.500  0.918  0.718  0.00
Sn  0.500  0.282  0.082  0.00
Sn  0.500  0.718  0.918  0.00
Sn  0.500  0.500  0.500  -0.02
Pb  0.000  0.000  0.000  0.00